No. 1
Material: SrLi3Ga2
Method: DFT, PBE
State: optimized geometry

Structure (POSCAR):
```
SrLi3Ga2
1.0
8.288 -2.311 0.000
8.288 2.311 0.000
-3.235 0.000 6.965
Sr Li Ga
2 6 4
direct
0.156 0.156 0.077
0.844 0.844 0.923
0.022 0.022 0.351
0.315 0.315 0.554
0.411 0.411 0.354
0.589 0.589 0.646
0.685 0.685 0.446
0.978 0.978 0.649
0.178 0.178 0.657
0.483 0.483 0.828
0.517 0.517 0.172
0.822 0.822 0.343
```

Properties
Energy above the most stable polymorph in this dataset   24 meV per atom
Symmetry   No. 12

***

No. 2
Material: Sr3Li8Ga
Method: DFT, PBE
State: optimized geometry

Structure (POSCAR):
```
Sr3Li8Ga
1.0
3.005 1.735 10.344
-3.005 1.735 10.344
0.000 -3.470 10.344
Sr Li Ga
3 8 1
direct
0.000 0.000 0.000
0.131 0.131 0.131
0.527 0.527 0.527
0.055 0.570 0.570
0.080 0.080 0.570
0.080 0.570 0.080
0.319 0.319 0.319
0.570 0.055 0.570
0.570 0.080 0.080
0.570 0.570 0.055
0.824 0.824 0.824
0.639 0.639 0.639
```

Properties
Symmetry   No. 160

***

No. 3
Material: Sr5LiGa4
Method: DFT, PBE
State: optimized geometry

Structure (POSCAR):
```
Sr5LiGa4
1.0
3.956 0.000 0.000
0.000 3.956 0.000
0.000 0.000 19.787
Sr Li Ga
5 1 4
direct
0.000 0.000 0.000
0.000 0.000 0.194
0.000 0.000 0.383
0.000 0.000 0.617
0.000 0.000 0.806
0.500 0.500 0.500
0.500 0.500 0.100
0.500 0.500 0.289
0.500 0.500 0.711
0.500 0.500 0.900
```

Properties
Symmetry   No. 123

***

No. 4
Material: SrLi2Ga
Method: DFT, PBE
State: optimized geometry

Structure (POSCAR):
```
SrLi2Ga
1.0
-2.447 4.869 8.652
2.447 -4.869 8.652
2.447 4.869 -8.652
Sr Li Ga
4 8 4
direct
0.205 0.205 0.000
0.257 0.000 0.257
0.743 0.000 0.743
0.795 0.795 0.000
0.078 0.578 0.500
0.147 0.807 0.340
0.404 0.404 0.000
0.468 0.807 0.660
0.532 0.193 0.340
0.596 0.596 0.000
0.853 0.193 0.660
0.922 0.422 0.500
0.090 0.349 0.740
0.391 0.651 0.740
0.609 0.349 0.260
0.910 0.651 0.260
```

Properties
Symmetry   No. 71

***

No. 5
Material: Sr2Li3Ga
Method: DFT, PBE
State: optimized geometry

Structure (POSCAR):
```
Sr2Li3Ga
1.0
5.289 -3.067 0.000
5.289 3.067 0.000
-3.592 0.000 5.188
Sr Li Ga
2 3 1
direct
0.127 0.127 0.380
0.873 0.873 0.620
0.000 0.500 0.000
0.500 0.000 0.000
0.500 0.500 0.000
0.500 0.500 0.500
```

Properties
Energy above the most stable polymorph in this dataset   0 meV per atom
Symmetry   No. 12

***

No. 6
Material: SrLi4Ga
Method: DFT, PBE
State: optimized geometry

Structure (POSCAR):
```
SrLi4Ga
1.0
6.922 -4.100 0.000
6.922 4.100 0.000
-1.052 0.000 4.879
Sr Li Ga
2 8 2
direct
0.203 0.797 0.750
0.797 0.203 0.250
0.108 0.289 0.929
0.289 0.108 0.429
0.302 0.452 0.216
0.452 0.302 0.716
0.548 0.698 0.284
0.698 0.548 0.784
0.711 0.892 0.571
0.892 0.711 0.071
0.000 0.500 0.500
0.500 0.000 0.000
```

Properties
Energy above the most stable polymorph in this dataset   6 meV per atom
Symmetry   No. 15

***

No. 7
Material: Sr5LiGa2
Method: DFT, PBE
State: optimized geometry

Structure (POSCAR):
```
Sr5LiGa2
1.0
-4.283 4.283 8.382
4.283 -4.283 8.382
4.283 4.283 -8.382
Sr Li Ga
10 2 4
direct
0.000 0.000 0.000
0.033 0.533 0.840
0.193 0.033 0.500
0.307 0.807 0.840
0.467 0.307 0.500
0.500 0.500 0.000
0.533 0.693 0.500
0.693 0.193 0.160
0.807 0.967 0.500
0.967 0.467 0.160
0.250 0.250 0.000
0.750 0.750 0.000
0.110 0.390 0.500
0.390 0.890 0.280
0.610 0.110 0.720
0.890 0.610 0.500
```

Properties
Symmetry   No. 140

***

No. 8
Material: SrLi3Ga
Method: DFT, PBE
State: optimized geometry

Structure (POSCAR):
```
SrLi3Ga
1.0
6.934 0.000 0.000
0.000 4.923 0.000
-1.868 0.000 7.147
Sr Li Ga
2 6 2
direct
0.171 0.250 0.229
0.829 0.750 0.771
0.123 0.250 0.685
0.377 0.750 0.928
0.488 0.250 0.649
0.512 0.750 0.351
0.623 0.250 0.072
0.877 0.750 0.315
0.249 0.750 0.561
0.751 0.250 0.439
```

Properties
Energy above the most stable polymorph in this dataset   0 meV per atom
Symmetry   No. 11

***

No. 9
Material: Sr4Li3Ga
Method: DFT, PBE
State: optimized geometry

Structure (POSCAR):
```
Sr4Li3Ga
1.0
4.356 0.000 0.000
0.000 5.178 0.000
0.000 0.000 12.800
Sr Li Ga
4 3 1
direct
0.000 0.000 0.000
0.000 0.500 0.268
0.500 0.000 0.464
0.500 0.500 0.785
0.000 0.000 0.693
0.000 0.500 0.563
0.500 0.500 0.078
0.500 0.000 0.196
```

Properties
Symmetry   No. 25

***

No. 10
Material: SrLiGa6
Method: DFT, PBE
State: optimized geometry

Structure (POSCAR):
```
SrLiGa6
1.0
4.458 0.000 0.000
0.000 6.898 0.000
0.000 0.000 5.393
Sr Li Ga
1 1 6
direct
0.000 0.000 0.000
0.500 0.500 0.283
0.000 0.293 0.484
0.000 0.500 0.989
0.000 0.707 0.484
0.500 0.000 0.468
0.500 0.306 0.792
0.500 0.694 0.792
```

Properties
Energy above the most stable polymorph in this dataset   63 meV per atom
Symmetry   No. 25

***

No. 11
Material: Sr4Li5Ga2
Method: DFT, PBE
State: optimized geometry

Structure (POSCAR):
```
Sr4Li5Ga2
1.0
8.299 0.000 0.000
0.000 4.095 0.000
-0.878 0.000 10.414
Sr Li Ga
4 5 2
direct
0.165 0.000 0.359
0.248 0.000 0.942
0.752 0.000 0.058
0.835 0.000 0.641
0.195 0.500 0.664
0.428 0.500 0.194
0.500 0.500 0.500
0.572 0.500 0.806
0.805 0.500 0.336
0.057 0.500 0.130
0.943 0.500 0.870
```

Properties
Symmetry   No. 10

***

No. 12
Material: Sr3LiGa
Method: DFT, PBE
State: optimized geometry

Structure (POSCAR):
```
Sr3LiGa
1.0
2.851 -11.165 0.000
2.851 11.165 0.000
0.000 0.000 5.703
Sr Li Ga
6 2 2
direct
0.074 0.926 0.750
0.249 0.751 0.750
0.425 0.575 0.750
0.575 0.425 0.250
0.751 0.249 0.250
0.926 0.074 0.250
0.337 0.663 0.250
0.663 0.337 0.750
0.160 0.840 0.250
0.840 0.160 0.750
```

Properties
Energy above the most stable polymorph in this dataset   0 meV per atom
Symmetry   No. 63

***

No. 13
Material: SrLi2Ga
Method: DFT, PBE
State: optimized geometry

Structure (POSCAR):
```
SrLi2Ga
1.0
4.029 -2.319 0.000
4.029 2.319 0.000
-2.679 0.000 5.603
Sr Li Ga
1 2 1
direct
0.000 0.000 0.000
0.514 0.514 0.540
0.811 0.811 0.431
0.201 0.201 0.602
```

Properties
Symmetry   No. 8

***

No. 14
Material: Sr8Li2Ga
Method: DFT, PBE
State: optimized geometry

Structure (POSCAR):
```
Sr8Li2Ga
1.0
4.572 -9.163 0.000
4.572 9.163 0.000
-3.779 0.000 5.985
Sr Li Ga
8 2 1
direct
0.000 0.000 0.000
0.095 0.476 0.210
0.144 0.912 0.515
0.434 0.668 0.871
0.476 0.095 0.210
0.566 0.566 0.372
0.668 0.434 0.871
0.912 0.144 0.515
0.006 0.589 0.708
0.589 0.006 0.708
0.291 0.291 0.515
```

Properties
Energy above the most stable polymorph in this dataset   23 meV per atom
Symmetry   No. 8

***

No. 15
Material: SrLiGa2
Method: DFT, PBE
State: optimized geometry

Structure (POSCAR):
```
SrLiGa2
1.0
-2.412 2.412 9.261
2.412 -2.412 9.261
2.412 2.412 -9.261
Sr Li Ga
2 2 4
direct
0.000 0.000 0.000
0.750 0.250 0.500
0.250 0.750 0.500
0.500 0.500 0.000
0.301 0.625 0.176
0.375 0.551 0.676
0.449 0.125 0.824
0.875 0.699 0.324
```

Properties
Energy above the most stable polymorph in this dataset   225 meV per atom
Symmetry   No. 122

***

No. 16
Material: Sr4Li5Ga
Method: DFT, PBE
State: optimized geometry

Structure (POSCAR):
```
Sr4Li5Ga
1.0
-4.994 4.994 3.378
4.994 -4.994 3.378
4.994 4.994 -3.378
Sr Li Ga
4 5 1
direct
0.061 0.298 0.359
0.298 0.939 0.237
0.702 0.061 0.763
0.939 0.702 0.641
0.226 0.226 0.000
0.334 0.608 0.896
0.438 0.334 0.726
0.608 0.712 0.274
0.712 0.438 0.104
0.795 0.795 0.000
```

Properties
Symmetry   No. 79

***

No. 17
Material: Sr3Li2Ga2
Method: DFT, PBE
State: optimized geometry

Structure (POSCAR):
```
Sr3Li2Ga2
1.0
-2.258 2.429 10.299
2.258 -2.429 10.299
2.258 2.429 -10.299
Sr Li Ga
3 2 2
direct
0.000 0.000 0.000
0.321 0.821 0.500
0.679 0.179 0.500
0.127 0.627 0.500
0.873 0.373 0.500
0.439 0.439 0.000
0.561 0.561 0.000
```

Properties
Symmetry   No. 71

***

No. 18
Material: Sr3Li3Ga2
Method: DFT, PBE
State: optimized geometry

Structure (POSCAR):
```
Sr3Li3Ga2
1.0
8.713 0.000 0.000
0.000 16.786 0.000
0.000 0.000 6.391
Sr Li Ga
12 12 8
direct
0.036 0.103 0.129
0.036 0.397 0.129
0.166 0.250 0.649
0.334 0.750 0.149
0.464 0.603 0.629
0.464 0.897 0.629
0.536 0.103 0.371
0.536 0.397 0.371
0.666 0.250 0.851
0.834 0.750 0.351
0.964 0.603 0.871
0.964 0.897 0.871
0.164 0.750 0.603
0.167 0.036 0.604
0.167 0.464 0.604
0.333 0.536 0.104
0.333 0.964 0.104
0.336 0.250 0.103
0.664 0.750 0.897
0.667 0.036 0.896
0.667 0.464 0.896
0.833 0.536 0.396
0.833 0.964 0.396
0.836 0.250 0.397
0.122 0.602 0.370
0.122 0.898 0.370
0.378 0.102 0.870
0.378 0.398 0.870
0.622 0.602 0.130
0.622 0.898 0.130
0.878 0.102 0.630
0.878 0.398 0.630
```

Properties
Symmetry   No. 62

***

No. 19
Material: SrLi2Ga
Method: DFT, PBE
State: optimized geometry

Structure (POSCAR):
```
SrLi2Ga
1.0
2.299 1.327 5.408
-2.299 1.327 5.408
0.000 -2.654 5.408
Sr Li Ga
1 2 1
direct
0.000 0.000 0.000
0.200 0.200 0.200
0.800 0.800 0.800
0.500 0.500 0.500
```

Properties
Symmetry   No. 166

***

No. 20
Material: Sr2Li6Ga
Method: DFT, PBE
State: optimized geometry

Structure (POSCAR):
```
Sr2Li6Ga
1.0
5.369 -3.087 0.000
5.369 3.087 0.000
-1.518 0.000 6.897
Sr Li Ga
2 6 1
direct
0.151 0.151 0.376
0.849 0.849 0.624
0.121 0.619 0.153
0.381 0.879 0.847
0.391 0.391 0.814
0.609 0.609 0.186
0.619 0.121 0.153
0.879 0.381 0.847
0.500 0.500 0.500
```

Properties
Symmetry   No. 12

***

No. 21
Material: Sr8LiGa2
Method: DFT, PBE
State: optimized geometry

Structure (POSCAR):
```
Sr8LiGa2
1.0
5.114 -7.548 0.000
5.114 7.548 0.000
-1.666 0.000 6.210
Sr Li Ga
8 1 2
direct
0.000 0.000 0.000
0.048 0.315 0.616
0.137 0.623 0.204
0.315 0.048 0.616
0.445 0.712 0.792
0.623 0.137 0.204
0.712 0.445 0.792
0.762 0.762 0.409
0.381 0.381 0.207
0.065 0.697 0.705
0.697 0.065 0.705
```

Properties
Symmetry   No. 8

***

No. 22
Material: Sr3Li4Ga2
Method: DFT, PBE
State: optimized geometry

Structure (POSCAR):
```
Sr3Li4Ga2
1.0
5.709 -2.427 0.000
5.709 2.427 0.000
-2.754 0.000 8.985
Sr Li Ga
3 4 2
direct
0.000 0.000 0.000
0.384 0.384 0.626
0.616 0.616 0.374
0.106 0.106 0.664
0.274 0.274 0.941
0.726 0.726 0.059
0.894 0.894 0.336
0.291 0.291 0.241
0.709 0.709 0.759
```

Properties
Symmetry   No. 12

***

| no. | DFT formation energy (eV/atom) |
| --- | --- |
| 1 | -0.2212 |
| 2 | -0.0121 |
| 3 | -0.2906 |
| 4 | -0.1666 |
| 5 | -0.1045 |
| 6 | -0.1112 |
| 7 | -0.2113 |
| 8 | -0.1330 |
| 9 | -0.0789 |
| 10 | -0.2373 |
| 11 | -0.0876 |
| 12 | -0.1501 |
| 13 | -0.1892 |
| 14 | -0.0117 |
| 15 | -0.1739 |
| 16 | -0.0330 |
| 17 | -0.2097 |
| 18 | -0.2024 |
| 19 | -0.1887 |
| 20 | -0.0775 |
| 21 | -0.1036 |
| 22 | -0.1869 |